Version i
DFT (PBE-GGA) results for a relaxed Mn2TcC crystal.

Cell: 6.7525 6.7525 6.7525 Å, 23.72 23.72 23.72°
Element x y z (fractional)
Mn1 0.2237 0.2237 0.2237
Mn2 0.7763 0.7763 0.7763
Tc1 0.0000 0.0000 0.0000
C1 0.5000 0.5000 0.5000

Results
- Magnetic moment: 3.08 Bohr magnetons per cell
- DOS(E_F): 3.243 states/eV/cell
- Space group: No. 166

Version ii
DFT (PBE-GGA) results for a relaxed Mn2TcC crystal.

Cell: 4.4487 4.4487 7.0632 Å, 90.00 90.00 144.36°
Element x y z (fractional)
Mn1 0.1343 0.8657 0.5719
Mn2 0.1343 0.8657 0.9281
Mn3 0.8657 0.1343 0.0719
Mn4 0.8657 0.1343 0.4281
Tc1 0.4148 0.5852 0.7500
Tc2 0.5852 0.4148 0.2500
C1 0.2851 0.7149 0.2500
C2 0.7149 0.2851 0.7500

Results
- Magnetic moment: 0.01 Bohr magnetons per cell
- DOS(E_F): 7.771 states/eV/cell
- Space group: No. 63

Least stable of them? version i.

Version i
DFT (PBE-GGA) results for a relaxed Mn2TcC crystal.

Cell: 3.9212 3.9212 3.9212 Å, 60.00 60.00 60.00°
Element x y z (fractional)
Mn1 0.2500 0.2500 0.2500
Mn2 0.7500 0.7500 0.7500
Tc1 0.0000 0.0000 0.0000
C1 0.5000 0.5000 0.5000

Results
- Magnetic moment: 0.66 Bohr magnetons per cell
- DOS(E_F): 4.350 states/eV/cell
- Space group: No. 225

Version ii
DFT (PBE-GGA) results for a relaxed Mn2TcC crystal.

Cell: 5.4405 5.4405 5.4405 Å, 123.56 123.56 83.94°
Element x y z (fractional)
Mn1 0.0393 0.6250 0.9143
Mn2 0.3750 0.2893 0.4143
Mn3 0.7107 0.1250 0.0857
Mn4 0.8750 0.9607 0.5857
Tc1 0.2500 0.7500 0.5000
Tc2 0.5000 0.5000 0.0000
C1 0.0000 0.0000 0.0000
C2 0.7500 0.2500 0.5000

Results
- Magnetic moment: 4.46 Bohr magnetons per cell
- DOS(E_F): 7.007 states/eV/cell
- Space group: No. 122

Least stable of them? version i.

Version i
DFT (PBE-GGA) results for a relaxed Mn2TcWC crystal.

Cell: 3.8303 3.8303 4.0161 Å, 90.00 90.00 90.00°
Element x y z (fractional)
Mn1 0.0000 0.5000 0.0000
Mn2 0.5000 0.0000 0.0000
Tc1 0.0000 0.0000 0.5000
W1 0.5000 0.5000 0.5000
C1 0.0000 0.0000 0.0000

Results
- Magnetic moment: 0.29 Bohr magnetons per cell
- DOS(E_F): 3.961 states/eV/cell
- Space group: No. 123

Version ii
DFT (PBE-GGA) results for a relaxed Mn2TcWC crystal.

Cell: 3.8201 3.8201 4.0998 Å, 90.00 90.00 90.00°
Element x y z (fractional)
Mn1 0.0000 0.5000 0.0000
Mn2 0.5000 0.0000 0.0000
Tc1 0.0000 0.0000 0.5000
W1 0.5000 0.5000 0.5000
C1 0.5000 0.5000 0.0000

Results
- Magnetic moment: 0.76 Bohr magnetons per cell
- DOS(E_F): 4.444 states/eV/cell
- Space group: No. 123

Least stable of them? version ii.

Version i
DFT (PBE-GGA) results for a relaxed MnTe2C2 crystal.

Cell: 6.9104 6.9104 3.4251 Å, 90.00 90.00 90.00°
Element x y z (fractional)
Mn1 0.0000 0.0000 0.0000
Mn2 0.5000 0.5000 0.0000
Te1 0.1675 0.3325 0.5000
Te2 0.3325 0.8325 0.5000
Te3 0.6675 0.1675 0.5000
Te4 0.8325 0.6675 0.5000
C1 0.1957 0.6957 0.0000
C2 0.3043 0.1957 0.0000
C3 0.6957 0.8043 0.0000
C4 0.8043 0.3043 0.0000

Results
- Magnetic moment: 6.88 Bohr magnetons per cell
- DOS(E_F): 3.694 states/eV/cell
- Space group: No. 127

Version ii
DFT (PBE-GGA) results for a relaxed MnTe2C2 crystal.

Cell: 4.6474 4.6474 4.6474 Å, 111.28 111.28 105.92°
Element x y z (fractional)
Mn1 0.0000 0.0000 0.0000
Te1 0.2500 0.7500 0.5000
Te2 0.7500 0.2500 0.5000
C1 0.3830 0.3830 0.0000
C2 0.6170 0.6170 0.0000

Results
- Magnetic moment: 0.00 Bohr magnetons per cell
- DOS(E_F): 4.081 states/eV/cell
- Space group: No. 139

Least stable of them? version i.

Version i
DFT (PBE-GGA) results for a relaxed Mn3TeC crystal.

Cell: 4.9329 4.9329 4.9329 Å, 90.00 90.00 90.00°
Element x y z (fractional)
Mn1 0.0000 0.0000 0.5000
Mn2 0.0000 0.5000 0.0000
Mn3 0.5000 0.0000 0.0000
Te1 0.0000 0.0000 0.0000
C1 0.5000 0.5000 0.5000

Results
- Magnetic moment: 9.62 Bohr magnetons per cell
- DOS(E_F): 5.380 states/eV/cell
- Space group: No. 221

Version ii
DFT (PBE-GGA) results for a relaxed Mn3TeC crystal.

Cell: 4.0698 4.0698 4.0698 Å, 90.00 90.00 90.00°
Element x y z (fractional)
Mn1 0.0000 0.0000 0.5000
Mn2 0.0000 0.5000 0.0000
Mn3 0.5000 0.0000 0.0000
Te1 0.5000 0.5000 0.5000
C1 0.0000 0.0000 0.0000

Results
- Magnetic moment: 8.32 Bohr magnetons per cell
- DOS(E_F): 7.301 states/eV/cell
- Space group: No. 221

Least stable of them? version i.

Version i
DFT (PBE-GGA) results for a relaxed MnTl3C crystal.

Cell: 5.1054 5.1054 5.1054 Å, 90.00 90.00 90.00°
Element x y z (fractional)
Mn1 0.0000 0.0000 0.0000
Tl1 0.0000 0.0000 0.5000
Tl2 0.0000 0.5000 0.0000
Tl3 0.5000 0.0000 0.0000
C1 0.5000 0.5000 0.5000

Results
- Magnetic moment: 0.00 Bohr magnetons per cell
- DOS(E_F): 34.347 states/eV/cell
- Space group: No. 221

Version ii
DFT (PBE-GGA) results for a relaxed MnTl3C crystal.

Cell: 4.9936 4.9936 4.9936 Å, 90.00 90.00 90.00°
Element x y z (fractional)
Mn1 0.0000 0.0000 0.0000
Tl1 0.0000 0.5000 0.5000
Tl2 0.5000 0.0000 0.5000
Tl3 0.5000 0.5000 0.0000
C1 0.5000 0.5000 0.5000

Results
- Magnetic moment: 4.29 Bohr magnetons per cell
- DOS(E_F): 3.760 states/eV/cell
- Space group: No. 221

Least stable of them? version i.

Version i
DFT (PBE-GGA) results for a relaxed TmMnC crystal.

Cell: 4.9506 4.9506 6.2259 Å, 120.06 120.06 37.11°
Element x y z (fractional)
Tm1 0.0724 0.0724 0.3405
Tm2 0.9276 0.9276 0.6595
Mn1 0.3099 0.3099 0.9227
Mn2 0.6901 0.6901 0.0773
C1 0.3160 0.3160 0.2654
C2 0.6840 0.6840 0.7346

Results
- Magnetic moment: 0.00 Bohr magnetons per cell
- DOS(E_F): 3.903 states/eV/cell
- Space group: No. 12

Version ii
DFT (PBE-GGA) results for a relaxed TmMnC crystal.

Cell: 3.1964 3.1964 4.9081 Å, 90.00 90.00 120.00°
Element x y z (fractional)
Tm1 0.0000 0.0000 0.0000
Mn1 0.3333 0.6667 0.4770
C1 0.6667 0.3333 0.3230

Results
- Magnetic moment: 1.66 Bohr magnetons per cell
- DOS(E_F): 2.270 states/eV/cell
- Space group: No. 156

Least stable of them? version ii.

Version i
DFT (PBE-GGA) results for a relaxed UMn2C crystal.

Cell: 2.8985 6.8166 4.9592 Å, 90.00 103.51 90.00°
Element x y z (fractional)
U1 0.0735 0.2500 0.1051
U2 0.9265 0.7500 0.8949
Mn1 0.3196 0.0566 0.6917
Mn2 0.3196 0.4434 0.6917
Mn3 0.6804 0.5566 0.3083
Mn4 0.6804 0.9434 0.3083
C1 0.2343 0.7500 0.4484
C2 0.7657 0.2500 0.5516

Results
- Magnetic moment: 0.00 Bohr magnetons per cell
- DOS(E_F): 9.299 states/eV/cell
- Space group: No. 11

Version ii
DFT (PBE-GGA) results for a relaxed UMn2C crystal.

Cell: 7.0875 7.0875 7.0875 Å, 23.92 23.92 23.92°
Element x y z (fractional)
U1 0.0000 0.0000 0.0000
Mn1 0.1172 0.1172 0.1172
Mn2 0.8828 0.8828 0.8828
C1 0.5000 0.5000 0.5000

Results
- Magnetic moment: 2.37 Bohr magnetons per cell
- DOS(E_F): 5.016 states/eV/cell
- Space group: No. 166

Least stable of them? version ii.

Version i
DFT (PBE-GGA) results for a relaxed U2MnC2 crystal.

Cell: 8.4107 8.4107 5.2050 Å, 90.00 90.00 159.20°
Element x y z (fractional)
U1 0.0281 0.9719 0.5000
U2 0.1846 0.8154 0.3215
U3 0.8154 0.1846 0.8215
U4 0.9719 0.0281 0.0000
Mn1 0.3669 0.6331 0.3421
Mn2 0.6331 0.3669 0.8421
C1 0.2059 0.7941 0.8279
C2 0.4229 0.5771 0.6654
C3 0.5771 0.4229 0.1654
C4 0.7941 0.2059 0.3279

Results
- Magnetic moment: 0.13 Bohr magnetons per cell
- DOS(E_F): 11.497 states/eV/cell
- Space group: No. 36

Version ii
DFT (PBE-GGA) results for a relaxed U2MnC2 crystal.

Cell: 6.2140 4.8855 9.0116 Å, 90.00 90.00 90.00°
Element x y z (fractional)
U1 0.0014 0.2500 0.1957
U2 0.2163 0.7500 0.4642
U3 0.2837 0.2500 0.9642
U4 0.4986 0.7500 0.6957
U5 0.5014 0.2500 0.3043
U6 0.7163 0.7500 0.0358
U7 0.7837 0.2500 0.5358
U8 0.9986 0.7500 0.8043
Mn1 0.2446 0.7500 0.1335
Mn2 0.2554 0.2500 0.6335
Mn3 0.7446 0.7500 0.3665
Mn4 0.7554 0.2500 0.8665
C1 0.0091 0.2500 0.7512
C2 0.1420 0.2500 0.4323
C3 0.3580 0.7500 0.9323
C4 0.4909 0.7500 0.2512
C5 0.5091 0.2500 0.7488
C6 0.6420 0.2500 0.0677
C7 0.8580 0.7500 0.5677
C8 0.9909 0.7500 0.2488

Results
- Magnetic moment: 0.00 Bohr magnetons per cell
- DOS(E_F): 18.990 states/eV/cell
- Space group: No. 62

Least stable of them? version i.

Version i
DFT (PBE-GGA) results for a relaxed MnVC crystal.

Cell: 3.4742 3.4742 2.8676 Å, 90.00 90.00 120.00°
Element x y z (fractional)
Mn1 0.0000 0.0000 0.0000
V1 0.6667 0.3333 0.5992
C1 0.3333 0.6667 0.9880

Results
- Magnetic moment: 0.00 Bohr magnetons per cell
- DOS(E_F): 2.683 states/eV/cell
- Space group: No. 156

Version ii
DFT (PBE-GGA) results for a relaxed MnVC crystal.

Cell: 5.1342 5.1342 4.9452 Å, 117.99 117.99 32.08°
Element x y z (fractional)
Mn1 0.1319 0.1319 0.2991
Mn2 0.8681 0.8681 0.7009
V1 0.3853 0.3853 0.2077
V2 0.6147 0.6147 0.7923
C1 0.2471 0.2471 0.7475
C2 0.7529 0.7529 0.2525

Results
- Magnetic moment: 0.01 Bohr magnetons per cell
- DOS(E_F): 4.197 states/eV/cell
- Space group: No. 12

Least stable of them? version i.

Version i
DFT (PBE-GGA) results for a relaxed MnWC3 crystal.

Cell: 4.0461 4.0461 4.0461 Å, 90.00 90.00 90.00°
Element x y z (fractional)
Mn1 0.0000 0.0000 0.0000
W1 0.5000 0.5000 0.5000
C1 0.0000 0.5000 0.5000
C2 0.5000 0.0000 0.5000
C3 0.5000 0.5000 0.0000

Results
- Magnetic moment: 0.27 Bohr magnetons per cell
- DOS(E_F): 5.739 states/eV/cell
- Space group: No. 221

Version ii
DFT (PBE-GGA) results for a relaxed MnWC3 crystal.

Cell: 3.6859 3.6859 3.6859 Å, 90.00 90.00 90.00°
Element x y z (fractional)
Mn1 0.0000 0.0000 0.0000
W1 0.5000 0.5000 0.5000
C1 0.0000 0.0000 0.5000
C2 0.0000 0.5000 0.0000
C3 0.5000 0.0000 0.0000

Results
- Magnetic moment: 0.00 Bohr magnetons per cell
- DOS(E_F): 7.190 states/eV/cell
- Space group: No. 221

Least stable of them? version i.

Version i
DFT (PBE-GGA) results for a relaxed MnW3C crystal.

Cell: 4.1038 4.1038 4.1038 Å, 90.00 90.00 90.00°
Element x y z (fractional)
Mn1 0.0000 0.0000 0.0000
W1 0.0000 0.5000 0.5000
W2 0.5000 0.0000 0.5000
W3 0.5000 0.5000 0.0000
C1 0.5000 0.5000 0.5000

Results
- Magnetic moment: 0.00 Bohr magnetons per cell
- DOS(E_F): 5.132 states/eV/cell
- Space group: No. 221

Version ii
DFT (PBE-GGA) results for a relaxed MnW3C crystal.

Cell: 4.4446 4.4446 4.4446 Å, 90.00 90.00 90.00°
Element x y z (fractional)
Mn1 0.0000 0.0000 0.0000
W1 0.0000 0.0000 0.5000
W2 0.0000 0.5000 0.0000
W3 0.5000 0.0000 0.0000
C1 0.5000 0.5000 0.5000

Results
- Magnetic moment: 0.00 Bohr magnetons per cell
- DOS(E_F): 5.578 states/eV/cell
- Space group: No. 221

Least stable of them? version ii.